Record 1
The following is a PBE calculation of an optimized crystal structure of Ba2SrSb2, from Alexandria.

Lattice parameters (Å, degrees): 5.3264 5.3264 8.3837 71.48 71.48 90.00
Closest atoms and distances in Å follow each position.
Fractional coordinates of all 5 atoms:
Sb  0.3990  0.3990  0.2020  1 Sb 3.03
Sb  0.6010  0.6010  0.7980  1 Sb 3.03
Ba  0.7500  0.2500  0.5000  4 Sb 3.47, 4 Ba 3.77
Ba  0.2500  0.7500  0.5000  4 Sb 3.47, 4 Ba 3.77
Sr  0.0000  0.0000  0.0000  8 Sb 4.06

As for the volume: 42.5 Å³/atom. The calculation puts the formation energy (no corrections) at -0.61 eV per atom. Its magnetization is 0.0 μB/f.u.

Record 2
The following is a PBE calculation of an optimized crystal structure of YPt2Rh, from Alexandria.

Lattice parameters (Å, degrees): 9.5239 9.5239 9.5239 17.79 17.79 17.79
Closest atoms and distances in Å follow each position.
Fractional coordinates of all 4 atoms:
Pt  0.9962  0.9962  0.9962  3 Rh 2.81, 6 Pt 2.94, 3 Y 2.98
Pt  0.5038  0.5038  0.5038  3 Rh 2.81, 6 Pt 2.94, 3 Y 2.98
Rh  0.2500  0.2500  0.2500  6 Pt 2.81, 6 Rh 2.94
Y  0.7500  0.7500  0.7500  6 Y 2.94, 6 Pt 2.98

As for the formation energy: -45.1 meV per atom. As for the volume: 17.6 Å³/atom. Its magnetization is 1.0 μB/f.u.